Record 1
A geometry-optimized Pm7NiPb2 structure. Source: Alexandria, functional PBE.

Unit cell a=7.728 b=7.728 c=7.728 alpha=60.00 beta=60.00 gamma=60.00
Element x y z (fractional)
Pm  0.000  0.000  0.000
Pm  0.261  0.261  0.739
Pm  0.261  0.739  0.261
Pm  0.261  0.739  0.739
Pm  0.739  0.261  0.261
Pm  0.739  0.261  0.739
Pm  0.739  0.739  0.261
Ni  0.500  0.500  0.500
Pb  0.250  0.250  0.250
Pb  0.750  0.750  0.750

- SG: Fm-3m (225)
- Energy relative to the elements: 0.104 eV/atom

---

Record 2
A geometry-optimized SrHfTeO5 structure. Source: Alexandria, functional PBE.

Unit cell a=6.038 b=6.038 c=8.023 alpha=106.41 beta=106.41 gamma=99.94
Element x y z (fractional)
Sr  0.061  0.939  0.750
Sr  0.939  0.061  0.250
Hf  0.000  0.500  0.000
Hf  0.500  0.000  0.500
Te  0.461  0.539  0.750
Te  0.539  0.461  0.250
O  0.185  0.251  0.061
O  0.226  0.774  0.250
O  0.243  0.621  0.878
O  0.251  0.185  0.561
O  0.379  0.757  0.622
O  0.621  0.243  0.378
O  0.749  0.815  0.439
O  0.757  0.379  0.122
O  0.774  0.226  0.750
O  0.815  0.749  0.939

- Raw formation energy: -2415 meV/atom
- SG: C2/c (15)

---

Record 3
A geometry-optimized La2AlGe3 structure. Source: Alexandria, functional PBE.

Unit cell a=4.330 b=4.457 c=14.937 alpha=90.00 beta=90.00 gamma=90.00
Element x y z (fractional)
La  0.000  0.000  0.000
La  0.000  0.500  0.244
La  0.500  0.000  0.744
La  0.500  0.500  0.500
Al  0.000  0.500  0.830
Al  0.500  0.000  0.330
Ge  0.000  0.000  0.412
Ge  0.000  0.000  0.581
Ge  0.000  0.500  0.664
Ge  0.500  0.000  0.164
Ge  0.500  0.500  0.081
Ge  0.500  0.500  0.912

- SG: Imm2 (44)
- Energy relative to the elements: -0.693 eV/atom

---

Record 4
A geometry-optimized Ba2LiSnO5 structure. Source: Alexandria, functional PBE.

Unit cell a=7.953 b=7.953 c=10.674 alpha=90.00 beta=90.00 gamma=154.63
Element x y z (fractional)
Ba  0.117  0.883  0.500
Ba  0.122  0.878  0.110
Ba  0.878  0.122  0.610
Ba  0.883  0.117  0.000
Li  0.441  0.559  0.259
Li  0.559  0.441  0.759
Sn  0.211  0.789  0.812
Sn  0.789  0.211  0.312
O  0.080  0.920  0.826
O  0.288  0.712  0.443
O  0.300  0.700  0.182
O  0.342  0.658  0.806
O  0.494  0.506  0.094
O  0.506  0.494  0.594
O  0.658  0.342  0.306
O  0.700  0.300  0.682
O  0.712  0.288  0.943
O  0.920  0.080  0.326

- Raw formation energy: -1944 meV/atom
- SG: Cmc2_1 (36)

---

Record 5
A geometry-optimized Li2MnCl structure. Source: Alexandria, functional PBE.

Unit cell a=6.672 b=6.672 c=6.672 alpha=90.00 beta=90.00 gamma=90.00
Element x y z (fractional)
Li  0.000  0.000  0.000
Li  0.000  0.500  0.500
Li  0.250  0.250  0.250
Li  0.250  0.750  0.750
Li  0.500  0.000  0.500
Li  0.500  0.500  0.000
Li  0.750  0.250  0.750
Li  0.750  0.750  0.250
Mn  0.250  0.250  0.750
Mn  0.250  0.750  0.250
Mn  0.750  0.250  0.250
Mn  0.750  0.750  0.750
Cl  0.000  0.000  0.500
Cl  0.000  0.500  0.000
Cl  0.500  0.000  0.000
Cl  0.500  0.500  0.500

- Raw formation energy: 162 meV/atom
- SG: F-43m (216)

---

Record 6
A geometry-optimized LaPrCo2 structure. Source: Alexandria, functional PBE.

Unit cell a=7.011 b=7.011 c=7.011 alpha=90.00 beta=90.00 gamma=90.00
Element x y z (fractional)
La  0.000  0.000  0.000
La  0.000  0.500  0.500
La  0.500  0.000  0.500
La  0.500  0.500  0.000
Pr  0.000  0.000  0.500
Pr  0.000  0.500  0.000
Pr  0.500  0.000  0.000
Pr  0.500  0.500  0.500
Co  0.250  0.250  0.250
Co  0.250  0.250  0.750
Co  0.250  0.750  0.250
Co  0.250  0.750  0.750
Co  0.750  0.250  0.250
Co  0.750  0.250  0.750
Co  0.750  0.750  0.250
Co  0.750  0.750  0.750

- SG: Fm-3m (225)
- Energy relative to the elements: 0.069 eV/atom

---

Record 7
A geometry-optimized Ce2ScMn structure. Source: Alexandria, functional PBE.

Unit cell a=3.568 b=3.568 c=25.675 alpha=90.00 beta=90.00 gamma=120.00
Element x y z (fractional)
Ce  0.000  0.000  0.229
Ce  0.000  0.000  0.771
Ce  0.333  0.667  0.438
Ce  0.333  0.667  0.896
Ce  0.667  0.333  0.104
Ce  0.667  0.333  0.562
Sc  0.000  0.000  0.000
Sc  0.333  0.667  0.667
Sc  0.667  0.333  0.333
Mn  0.000  0.000  0.500
Mn  0.333  0.667  0.167
Mn  0.667  0.333  0.833

- SG: R-3m (166)
- Energy relative to the elements: 0.286 eV/atom

---

Record 8
A geometry-optimized In2HgI6 structure. Source: Alexandria, functional PBE.

Unit cell a=12.057 b=12.057 c=7.523 alpha=106.90 beta=106.90 gamma=66.74
Element x y z (fractional)
In  0.062  0.269  0.240
In  0.269  0.062  0.740
In  0.731  0.938  0.260
In  0.938  0.731  0.760
Hg  0.487  0.513  0.250
Hg  0.513  0.487  0.750
I  0.027  0.191  0.544
I  0.168  0.651  0.967
I  0.191  0.027  0.044
I  0.209  0.406  0.379
I  0.349  0.832  0.533
I  0.406  0.209  0.879
I  0.594  0.791  0.121
I  0.651  0.168  0.467
I  0.791  0.594  0.621
I  0.809  0.973  0.956
I  0.832  0.349  0.033
I  0.973  0.809  0.456

- Raw formation energy: -408 meV/atom
- SG: C2/c (15)

---

Record 9
A geometry-optimized MnCuTcGe structure. Source: Alexandria, functional PBE.

Unit cell a=6.001 b=6.001 c=6.001 alpha=90.00 beta=90.00 gamma=90.00
Element x y z (fractional)
Mn  0.000  0.000  0.000
Mn  0.000  0.500  0.500
Mn  0.500  0.000  0.500
Mn  0.500  0.500  0.000
Cu  0.250  0.250  0.250
Cu  0.250  0.750  0.750
Cu  0.750  0.250  0.750
Cu  0.750  0.750  0.250
Tc  0.000  0.000  0.500
Tc  0.000  0.500  0.000
Tc  0.500  0.000  0.000
Tc  0.500  0.500  0.500
Ge  0.250  0.250  0.750
Ge  0.250  0.750  0.250
Ge  0.750  0.250  0.250
Ge  0.750  0.750  0.750

- SG: F-43m (216)
- Energy relative to the elements: 0.060 eV/atom

---

Record 10
A geometry-optimized La8Cu2Pd structure. Source: Alexandria, functional PBE.

Unit cell a=9.781 b=9.781 c=7.008 alpha=107.44 beta=107.44 gamma=31.21
Element x y z (fractional)
La  0.025  0.025  0.291
La  0.199  0.199  0.847
La  0.327  0.327  0.495
La  0.409  0.409  0.032
La  0.591  0.591  0.968
La  0.673  0.673  0.505
La  0.801  0.801  0.153
La  0.975  0.975  0.709
Cu  0.173  0.173  0.239
Cu  0.827  0.827  0.761
Pd  0.500  0.500  0.500

- SG: C2/m (12)
- Energy relative to the elements: -0.182 eV/atom

---

Record 11
A geometry-optimized Y2AlGePt structure. Source: Alexandria, functional PBE.

Unit cell a=5.377 b=5.377 c=4.625 alpha=90.00 beta=90.00 gamma=90.00
Element x y z (fractional)
Y  0.000  0.500  0.000
Y  0.500  0.000  0.000
Al  0.000  0.000  0.500
Ge  0.500  0.500  0.000
Pt  0.500  0.500  0.500

- SG: P4/mmm (123)
- Energy relative to the elements: -0.122 eV/atom

---

Record 12
A geometry-optimized Rb2In4SnPb3 structure. Source: Alexandria, functional PBE.

Unit cell a=5.328 b=5.328 c=12.357 alpha=90.00 beta=90.00 gamma=90.00
Element x y z (fractional)
Rb  0.000  0.500  0.249
Rb  0.500  0.000  0.751
In  0.000  0.000  0.500
In  0.000  0.500  0.874
In  0.500  0.000  0.126
In  0.500  0.500  0.500
Sn  0.500  0.500  0.000
Pb  0.000  0.000  0.000
Pb  0.000  0.500  0.631
Pb  0.500  0.000  0.369

- SG: P-4m2 (115)
- Energy relative to the elements: -0.103 eV/atom

---

Number 1: DOS at the Fermi energy 0.4801 states/eV/atom, V 32.637 Å³ per atom, magnetization 0.000 μB/f.u.. Number 2: DOS at the Fermi energy 0.0000 states/eV/atom, V 16.179 Å³ per atom, magnetization 0.000 μB/f.u.. Number 3: DOS at the Fermi energy 0.4403 states/eV/atom, V 24.025 Å³ per atom, magnetization 0.000 μB/f.u.. Number 4: DOS at the Fermi energy 0.6395 states/eV/atom, V 16.070 Å³ per atom, magnetization 1.041 μB/f.u.. Number 5: DOS at the Fermi energy 0.7655 states/eV/atom, V 18.561 Å³ per atom, magnetization 3.886 μB/f.u.. Number 6: DOS at the Fermi energy 0.4714 states/eV/atom, V 21.541 Å³ per atom, magnetization 0.835 μB/f.u.. Number 7: DOS at the Fermi energy 1.7156 states/eV/atom, V 23.593 Å³ per atom, magnetization 0.000 μB/f.u.. Number 8: DOS at the Fermi energy 0.0000 states/eV/atom, V 52.329 Å³ per atom, magnetization 0.000 μB/f.u.. Number 9: DOS at the Fermi energy 0.8637 states/eV/atom, V 13.504 Å³ per atom, magnetization 3.363 μB/f.u.. Number 10: DOS at the Fermi energy 1.0486 states/eV/atom, V 30.011 Å³ per atom, magnetization 0.000 μB/f.u.. Number 11: DOS at the Fermi energy 0.6903 states/eV/atom, V 26.743 Å³ per atom, magnetization 0.000 μB/f.u.. Number 12: DOS at the Fermi energy 0.3943 states/eV/atom, V 35.083 Å³ per atom, magnetization 0.000 μB/f.u..